# PBE Ti4ZnIn2, relaxed
# Density   5.34 Mg/m³
# Calculated volume   302 Å³ per cell
# Spin magnetization   0.231 μB per formula unit
# E_form   0.451 eV/atom
data_Ti4ZnIn2
_cell_length_a 4.570
_cell_length_b 4.570
_cell_length_c 14.479
_cell_angle_alpha 90.00
_cell_angle_beta 90.00
_cell_angle_gamma 90.00
_space_group_name_H-M_alt 'I 4/m m m'
_space_group_IT_number 139
_space_group_name_Hall '-I 4 2'
loop_
_atom_site_label
_atom_site_type_symbol
_atom_site_fract_x
_atom_site_fract_y
_atom_site_fract_z
_atom_site_occupancy
Ti1 Ti 0.000 0.000 0.171 1
Ti2 Ti 0.000 0.500 0.000 1
Zn1 Zn 0.000 0.000 0.000 1
In1 In 0.000 0.000 0.366 1